## AlPtSe2 (meta-GGA SCAN)

Data for AlPtSe2 at its PBEsol-relaxed geometry.

Results
**Space-group type**: Immm
**Crystal system**: orthorhombic
**E_form (uncorrected)**: -0.30 eV per atom
**Electronic total energy**: -119.3 eV per cell

a b c (Å): 5.9293 5.9293 5.9293
angles (deg): 145.06 141.27 53.14
Closest atoms and distances in Å follow each position.
Atoms (fractional coordinates):
Al 0.0000 0.0000 0.0000  4 Pt 2.65, 2 Se 2.86
Pt 0.5000 0.5000 0.0000  2 Se 2.44, 4 Al 2.65
Se 0.2697 0.2697 0.0000  1 Pt 2.44, 4 Se 2.68
Se 0.7303 0.7303 0.0000  1 Pt 2.44, 4 Se 2.68

---

## MnTlOs2 (meta-GGA SCAN)

Data for MnTlOs2 at its PBEsol-relaxed geometry.

Results
**Space-group type**: P4/mmm
**Energy relative to the lowest polymorph listed for this composition**: 167 meV/atom
**Crystal system**: tetragonal
**Energy of formation**: 656.4 meV/atom
**Electronic total energy**: -231.7 eV per cell

a b c (Å): 3.9784 3.9784 3.8507
angles (deg): 90.00 90.00 90.00
Closest atoms and distances in Å follow each position.
Atoms (fractional coordinates):
Mn 0.0000 0.0000 0.0000  8 Os 2.77, 4 Tl 2.81
Tl 0.5000 0.5000 0.0000  8 Os 2.77, 4 Mn 2.81
Os 0.0000 0.5000 0.5000  4 Tl 2.77, 4 Mn 2.77, 4 Os 2.81
Os 0.5000 0.0000 0.5000  4 Tl 2.77, 4 Mn 2.77, 4 Os 2.81

---

## ZnNi2Ir (meta-GGA SCAN)

Data for ZnNi2Ir at its PBEsol-relaxed geometry.

Results
**Space-group type**: Pmmm
**Crystal system**: orthorhombic
**Energy of formation**: -69.4 meV/atom
**Electronic total energy**: -117.2 eV per cell

a b c (Å): 2.5982 3.5876 5.1511
angles (deg): 90.00 90.00 90.00
Closest atoms and distances in Å follow each position.
Atoms (fractional coordinates):
Zn 0.0000 0.0000 0.0000  8 Ni 2.57, 2 Ir 2.58, 2 Zn 2.60
Ni 0.5000 0.5000 0.2535  4 Ni 2.54-2.61, 4 Ir 2.55, 4 Zn 2.57
Ni 0.5000 0.5000 0.7465  4 Ni 2.54-2.61, 4 Ir 2.55, 4 Zn 2.57
Ir 0.0000 0.0000 0.5000  8 Ni 2.55, 2 Zn 2.58, 2 Ir 2.60

---

## Ba2V3O9 (meta-GGA SCAN)

Data for Ba2V3O9 at its PBEsol-relaxed geometry.

Results
**Space-group type**: P2_1
**Crystal system**: monoclinic
**E_form (uncorrected)**: -2.95 eV per atom
**Electronic total energy**: -458.0 eV per cell

a b c (Å): 8.4567 5.7725 9.3707
angles (deg): 90.00 115.06 90.00
Closest atoms and distances in Å follow each position.
Atoms (fractional coordinates):
Ba 0.1969 0.0000 0.2315  7 O 2.69-2.92
Ba 0.2121 0.5382 0.5928  6 O 2.63-2.93
Ba 0.7879 0.0382 0.4072  6 O 2.63-2.93
Ba 0.8031 0.5000 0.7685  7 O 2.69-2.92
V 0.0873 0.0382 0.8042  4 O 1.67-1.83
V 0.4792 0.3018 0.9920  1 O 1.71
V 0.4961 0.0318 0.6883  4 O 1.68-1.76
V 0.5039 0.5317 0.3117  4 O 1.68-1.76
V 0.5208 0.8018 0.0080  1 O 1.71
V 0.9127 0.5382 0.1958  4 O 1.67-1.83
O 0.0076 0.5832 0.0738  1 V 1.67
O 0.0098 0.7948 0.6976  1 V 1.69
O 0.0183 0.2589 0.6731  1 V 1.69
O 0.2889 0.0240 0.5501  1 V 1.68
O 0.3253 0.0330 0.9167  3 V 1.83-2.01
O 0.3432 0.5338 0.9212  1 V 1.71
O 0.3661 0.5529 0.3973  1 V 1.68
O 0.4627 0.2802 0.1953  2 V 1.76-1.97
O 0.4752 0.7812 0.1965  1 V 1.75
O 0.5248 0.2812 0.8035  1 V 1.75
O 0.5373 0.7802 0.8047  2 V 1.76-1.97
O 0.6339 0.0529 0.6027  1 V 1.68
O 0.6568 0.0338 0.0788  1 V 1.71
O 0.6747 0.5330 0.0833  3 V 1.83-2.01
O 0.7111 0.5240 0.4499  1 V 1.68
O 0.9817 0.7589 0.3269  1 V 1.69
O 0.9902 0.2948 0.3024  1 V 1.69
O 0.9924 0.0832 0.9262  1 V 1.67

---

## SrYI2N (meta-GGA SCAN)

Data for SrYI2N at its PBEsol-relaxed geometry.

Results
**Space-group type**: P4/mmm
**Crystal system**: tetragonal
**E_form (uncorrected)**: -0.01 eV per atom
**Electronic total energy**: -132.9 eV per cell

a b c (Å): 6.0771 6.0771 4.2042
angles (deg): 90.00 90.00 90.00
Closest atoms and distances in Å follow each position.
Atoms (fractional coordinates):
Sr 0.0000 0.0000 0.0000  2 N 2.10
Y 0.5000 0.5000 0.5000  8 I 3.69
I 0.0000 0.5000 0.0000  2 Sr 3.04
I 0.5000 0.0000 0.0000  2 Sr 3.04
N 0.0000 0.0000 0.5000  2 Sr 2.10

---

## ZnSiRh2 (meta-GGA SCAN)

Data for ZnSiRh2 at its PBEsol-relaxed geometry.

Results
**Space-group type**: R3m
**Energy relative to the lowest polymorph listed for this composition**: 581 meV/atom
**Crystal system**: trigonal
**E_form (uncorrected)**: -0.19 eV per atom
**Electronic total energy**: -91.8 eV per cell

a b c (Å): 8.3368 8.3368 8.3368
angles (deg): 19.06 19.06 19.06
Closest atoms and distances in Å follow each position.
Atoms (fractional coordinates):
Zn 0.0000 0.0000 0.0000  3 Rh 2.57, 3 Si 2.67, 6 Zn 2.76
Si 0.2461 0.2461 0.2461  3 Rh 2.39, 3 Zn 2.67
Rh 0.5069 0.5069 0.5069  3 Si 2.39
Rh 0.7486 0.7486 0.7486  3 Zn 2.57, 9 Rh 2.76

---

## Ca2MgFe (meta-GGA SCAN)

Data for Ca2MgFe at its PBEsol-relaxed geometry.

Results
**Space-group type**: P4mm
**Crystal system**: tetragonal
**Energy of formation**: 264.1 meV/atom
**Electronic total energy**: -41.4 eV per cell

a b c (Å): 3.4865 3.4865 8.4362
angles (deg): 90.00 90.00 90.00
Closest atoms and distances in Å follow each position.
Atoms (fractional coordinates):
Ca 0.0000 0.0000 0.0000  4 Mg 3.35, 1 Fe 3.44, 4 Ca 3.49
Ca 0.5000 0.5000 0.3668  1 Mg 3.07, 4 Fe 3.11
Mg 0.5000 0.5000 0.7307  4 Fe 2.73
Fe 0.0000 0.0000 0.5920  4 Mg 2.73

---

## Er3Cu4Ge4 (meta-GGA SCAN)

Data for Er3Cu4Ge4 at its PBEsol-relaxed geometry.

Results
**Space-group type**: Immm
**Crystal system**: orthorhombic
**Energy of formation**: -672.3 meV/atom
**Electronic total energy**: -295.6 eV per cell

a b c (Å): 12.4035 12.4035 12.4035
angles (deg): 162.02 161.24 26.09
Closest atoms and distances in Å follow each position.
Atoms (fractional coordinates):
Er 0.0000 0.0000 0.0000  4 Cu 3.02, 8 Ge 3.06
Er 0.3506 0.8506 0.5000  6 Ge 2.98-3.07, 8 Cu 3.08-3.19
Er 0.6494 0.1494 0.5000  6 Ge 2.98-3.07, 8 Cu 3.08-3.19
Cu 0.0957 0.5957 0.5000  3 Ge 2.30-2.32
Cu 0.2515 0.2515 0.0000  4 Ge 2.42-2.44
Cu 0.7485 0.7485 0.0000  4 Ge 2.42-2.44
Cu 0.9043 0.4043 0.5000  3 Ge 2.30-2.32
Ge 0.1916 0.6916 0.5000  5 Cu 2.32-2.44
Ge 0.4494 0.4494 0.0000  2 Cu 2.30, 1 Ge 2.45
Ge 0.5506 0.5506 0.0000  2 Cu 2.30, 1 Ge 2.45
Ge 0.8084 0.3084 0.5000  5 Cu 2.32-2.44

---

## LaMg2Al (meta-GGA SCAN)

Data for LaMg2Al at its PBEsol-relaxed geometry.

Results
**Space-group type**: Pm
**Crystal system**: monoclinic
**Energy of formation**: -135.9 meV/atom
**Electronic total energy**: -61.3 eV per cell

a b c (Å): 3.2009 4.7462 6.6585
angles (deg): 90.00 103.91 90.00
Closest atoms and distances in Å follow each position.
Atoms (fractional coordinates):
La 0.0000 0.0000 0.0000  2 La 3.20, 4 Al 3.22, 5 Mg 3.38-3.58
Mg 0.2640 0.0000 0.5233  2 Al 2.86, 6 Mg 3.11-3.20
Mg 0.6683 0.5000 0.3342  6 Mg 3.11-3.20, 2 Al 3.24-3.25
Al 0.3849 0.5000 0.7715  2 Mg 2.86, 2 Al 3.20

---

## HfScI2N (meta-GGA SCAN)

Data for HfScI2N at its PBEsol-relaxed geometry.

Results
**Space-group type**: P4/mmm
**Crystal system**: tetragonal
**E_form (uncorrected)**: -0.22 eV per atom
**Electronic total energy**: -160.8 eV per cell

a b c (Å): 5.7125 5.7125 3.9428
angles (deg): 90.00 90.00 90.00
Closest atoms and distances in Å follow each position.
Atoms (fractional coordinates):
Hf 0.0000 0.0000 0.0000  2 N 1.97
Sc 0.5000 0.5000 0.5000  8 I 3.47
I 0.0000 0.5000 0.0000  2 Hf 2.86
I 0.5000 0.0000 0.0000  2 Hf 2.86
N 0.0000 0.0000 0.5000  2 Hf 1.97

---

## Cr8Co3NiS16 (meta-GGA SCAN)

Data for Cr8Co3NiS16 at its PBEsol-relaxed geometry.

Results
**Space-group type**: P-4m2
**Energy relative to the lowest polymorph listed for this composition**: 5 meV/atom
**Crystal system**: tetragonal
**E_form (uncorrected)**: -0.92 eV per atom
**Electronic total energy**: -395.1 eV per cell

a b c (Å): 6.7542 6.7542 9.5306
angles (deg): 90.00 90.00 90.00
Closest atoms and distances in Å follow each position.
Atoms (fractional coordinates):
Cr 0.0000 0.2504 0.3753  6 S 2.34-2.35
Cr 0.0000 0.7496 0.3753  6 S 2.34-2.35
Cr 0.2504 0.0000 0.6247  6 S 2.34-2.35
Cr 0.2501 0.5000 0.1254  6 S 2.33-2.35
Cr 0.5000 0.2501 0.8746  6 S 2.33-2.35
Cr 0.5000 0.7499 0.8746  6 S 2.33-2.35
Cr 0.7496 0.0000 0.6247  6 S 2.34-2.35
Cr 0.7499 0.5000 0.1254  6 S 2.33-2.35
Co 0.0000 0.0000 0.0000  4 S 2.14
Co 0.0000 0.5000 0.7499  4 S 2.14
Co 0.5000 0.0000 0.2501  4 S 2.14
Ni 0.5000 0.5000 0.5000  4 S 2.15
S 0.0000 0.2414 0.6206  1 Co 2.14, 3 Cr 2.34-2.35
S 0.0000 0.2596 0.1290  1 Co 2.14, 3 Cr 2.34-2.35
S 0.0000 0.7404 0.1290  1 Co 2.14, 3 Cr 2.34-2.35
S 0.0000 0.7586 0.6206  1 Co 2.14, 3 Cr 2.34-2.35
S 0.2400 0.5000 0.3703  1 Ni 2.15, 3 Cr 2.33-2.34
S 0.2414 0.0000 0.3794  1 Co 2.14, 3 Cr 2.34-2.35
S 0.2596 0.0000 0.8710  1 Co 2.14, 3 Cr 2.34-2.35
S 0.2598 0.5000 0.8786  1 Co 2.14, 3 Cr 2.34-2.35
S 0.5000 0.2400 0.6297  1 Ni 2.15, 3 Cr 2.33-2.34
S 0.5000 0.2598 0.1214  1 Co 2.14, 3 Cr 2.34-2.35
S 0.5000 0.7402 0.1214  1 Co 2.14, 3 Cr 2.34-2.35
S 0.5000 0.7600 0.6297  1 Ni 2.15, 3 Cr 2.33-2.34
S 0.7404 0.0000 0.8710  1 Co 2.14, 3 Cr 2.34-2.35
S 0.7402 0.5000 0.8786  1 Co 2.14, 3 Cr 2.34-2.35
S 0.7586 0.0000 0.3794  1 Co 2.14, 3 Cr 2.34-2.35
S 0.7600 0.5000 0.3703  1 Ni 2.15, 3 Cr 2.33-2.34

---

## BaSbTeI2 (meta-GGA SCAN)

Data for BaSbTeI2 at its PBEsol-relaxed geometry.

Results
**Space-group type**: P4/mmm
**Energy relative to the lowest polymorph listed for this composition**: 0 meV/atom
**Crystal system**: tetragonal
**E_form (uncorrected)**: -0.76 eV per atom
**Electronic total energy**: -191.4 eV per cell

a b c (Å): 5.9429 5.9429 5.8380
angles (deg): 90.00 90.00 90.00
Closest atoms and distances in Å follow each position.
Atoms (fractional coordinates):
Ba 0.0000 0.0000 0.0000  8 I 4.17, 4 Te 4.20
Sb 0.5000 0.5000 0.5000  2 Te 2.92, 4 I 2.97
Te 0.5000 0.5000 0.0000  2 Sb 2.92
I 0.0000 0.5000 0.5000  2 Sb 2.97
I 0.5000 0.0000 0.5000  2 Sb 2.97

---

electronic total energy of number 7 (Ca2MgFe)? -41.4 eV per cell